Entry 1:
Entry from Alexandria: a relaxed Y7C5 crystal (PBE).

Cell and atoms, written as POSCAR:
```
Y7C5
1.0
3.467 -6.285 0.000
3.467 6.285 0.000
-0.014 0.000 6.046
Y C
7 5
direct
0.000 0.000 0.000
0.116 0.373 0.459
0.335 0.666 0.994
0.373 0.116 0.459
0.628 0.887 0.461
0.666 0.335 0.994
0.887 0.628 0.461
0.253 0.749 0.349
0.312 0.312 0.155
0.501 0.501 0.238
0.690 0.690 0.156
0.749 0.253 0.349
```

Density of states at the Fermi level = 8.60 states/eV per cell
Spin magnetization = 0.4 μB/f.u.
Calculated volume = 22.0 Å³/atom
Crystal system = monoclinic
E_form = -0.052 eV/atom
Electronic total energy = -91.990 eV per formula unit

=====

Entry 2:
Entry from Alexandria: a relaxed Y3C crystal (PBE).

Cell and atoms, written as POSCAR:
```
Y3C
1.0
8.588 0.000 0.000
-4.294 7.437 0.000
0.000 0.000 6.610
Y C
12 4
direct
0.000 0.500 0.000
0.000 0.500 0.500
0.119 0.238 0.250
0.119 0.881 0.250
0.238 0.119 0.750
0.500 0.000 0.000
0.500 0.000 0.500
0.500 0.500 0.000
0.500 0.500 0.500
0.762 0.881 0.250
0.881 0.119 0.750
0.881 0.762 0.750
0.000 0.000 0.000
0.000 0.000 0.500
0.333 0.667 0.750
0.667 0.333 0.250
```

Density of states at the Fermi level = 26.53 states/eV per cell
Spin magnetization = 0.0 μB/f.u.
Calculated volume = 26.4 Å³/atom
Crystal system = hexagonal
E_form = 0.690 eV/atom
Energy above the lowest structure with this stoichiometry = 0.854 eV/atom
Electronic total energy = -25.855 eV per formula unit

=====

Entry 3:
Entry from Alexandria: a relaxed YC2 crystal (PBE).

Cell and atoms, written as POSCAR:
```
YC2
1.0
3.174 0.000 0.000
-1.587 2.749 0.000
0.000 0.000 3.703
Y C
1 2
direct
0.000 0.000 0.000
0.333 0.667 0.500
0.667 0.333 0.500
```

Density of states at the Fermi level = 0.81 states/eV per cell
Spin magnetization = 0.0 μB/f.u.
Calculated volume = 10.8 Å³/atom
Crystal system = hexagonal
E_form = 0.795 eV/atom
Energy above the lowest structure with this stoichiometry = 0.978 eV/atom
Electronic total energy = -22.526 eV per formula unit

=====

Entry 4:
Entry from Alexandria: a relaxed YC2 crystal (PBE).

Cell and atoms, written as POSCAR:
```
YC2
1.0
4.684 -1.402 0.000
4.684 1.402 0.000
-0.834 0.000 5.170
Y C
2 4
direct
0.148 0.148 0.236
0.852 0.852 0.764
0.118 0.118 0.736
0.434 0.434 0.398
0.566 0.566 0.602
0.882 0.882 0.264
```

Density of states at the Fermi level = 1.81 states/eV per cell
Spin magnetization = 0.0 μB/f.u.
Calculated volume = 11.3 Å³/atom
Crystal system = monoclinic
E_form = 0.239 eV/atom
Energy above the lowest structure with this stoichiometry = 0.423 eV/atom
Electronic total energy = -24.193 eV per formula unit